## Ho4Si2Bi (PBE)

Data for crystalline Ho4Si2Bi at its relaxed geometry.

Unit cell a=9.3110 b=9.3110 c=9.4227 alpha=90.00 beta=90.00 gamma=90.00
Last column: nearest neighbours and their distance in Å.
Space group I4_1/amd (No. 141, origin choice 2)
One atom of each set of equivalent atoms:
1 Ho 0.0000 0.0708 0.2140 (multiplicity 16)  3 Si 2.77-2.88, 1 Bi 3.10
2 Si 0.0000 0.0000 0.5000 (multiplicity 8)  6 Ho 2.77-2.88
3 Bi 0.0000 0.2500 0.8750 (multiplicity 4)  4 Ho 3.10

Results
- ΔE_f (raw) (eV/atom) = -0.5464
- DOS at the Fermi energy (states/eV per atom) = 0.6738


## ScCdCl2 (PBE)

Data for crystalline ScCdCl2 at its relaxed geometry.

Unit cell a=4.6345 b=4.6345 c=8.1331 alpha=90.00 beta=90.00 gamma=90.00
Last column: nearest neighbours and their distance in Å.
Space group I4/mmm (No. 139)
One atom of each set of equivalent atoms:
1 Sc 0.0000 0.0000 0.0000 (multiplicity 2)  8 Cl 3.08, 4 Cd 3.28
2 Cd 0.0000 0.0000 0.5000 (multiplicity 2)  8 Cl 3.08, 4 Sc 3.28
3 Cl 0.0000 0.5000 0.2500 (multiplicity 4)  4 Cd 3.08, 4 Sc 3.08, 4 Cl 3.28

Results
- ΔE_f (raw) (eV/atom) = -0.6977
- energy above the lowest structure with this stoichiometry (eV per atom) = 0.585
- DOS at the Fermi energy (states/eV per atom) = 0.5047